DFT (PBE-GGA) results for a geometry-optimized LaHg2MoS structure.

a = 5.2745 Å, b = 5.2745 Å, c = 5.2774 Å
α = 90.00°, β = 90.00°, γ = 90.00°
With the nearest neighbours (Å) after each atom.
Space group P4/mmm (No. 123)
Inequivalent atoms, fractional coordinates:
La 0.0000 0.0000 0.0000 [1 per cell]  2 Mo 2.64
Hg 0.0000 0.5000 0.5000 [2 per cell]  2 Mo 2.64
Mo 0.0000 0.0000 0.5000 [1 per cell]  4 Hg 2.64, 2 La 2.64
S 0.5000 0.5000 0.0000 [1 per cell]  4 La 3.73, 8 Hg 3.73

Computed properties:
Energy relative to the elements, uncorrected: 450 meV/atom
V: 29.36 Å³/atom

DFT (PBE-GGA) results for a geometry-optimized La2TaHgMo structure.

a = 5.7913 Å, b = 5.7913 Å, c = 5.0604 Å
α = 90.00°, β = 90.00°, γ = 90.00°
With the nearest neighbours (Å) after each atom.
Space group P4/mmm (No. 123)
Inequivalent atoms, fractional coordinates:
La 0.0000 0.5000 0.0000 [2 per cell]  2 Hg 2.90
Ta 0.0000 0.0000 0.5000 [1 per cell]  8 La 3.85, 4 Mo 4.10
Hg 0.5000 0.5000 0.0000 [1 per cell]  2 Mo 2.53
Mo 0.5000 0.5000 0.5000 [1 per cell]  2 Hg 2.53

Computed properties:
E_form: 1598 meV per atom
V: 33.94 Å³/atom

DFT (PBE-GGA) results for a geometry-optimized LaTiHgMo2 structure.

a = 5.1998 Å, b = 5.1998 Å, c = 4.9517 Å
α = 90.00°, β = 90.00°, γ = 90.00°
With the nearest neighbours (Å) after each atom.
Space group P4/mmm (No. 123)
Inequivalent atoms, fractional coordinates:
La 0.0000 0.0000 0.0000 [1 per cell]  8 Mo 3.59, 4 Ti 3.68
Ti 0.5000 0.5000 0.0000 [1 per cell]  2 Hg 2.48
Hg 0.5000 0.5000 0.5000 [1 per cell]  2 Ti 2.48, 4 Mo 2.60
Mo 0.0000 0.5000 0.5000 [2 per cell]  2 Hg 2.60

Computed properties:
E_form: 1487 meV per atom
V: 26.78 Å³/atom

DFT (PBE-GGA) results for a geometry-optimized La3Hg2N2 structure.

a = 13.5977 Å, b = 3.9885 Å, c = 9.0787 Å
α = 90.00°, β = 131.03°, γ = 90.00°
With the nearest neighbours (Å) after each atom.
Space group C2/m (No. 12)
Inequivalent atoms, fractional coordinates:
La 0.0000 0.0000 0.0000 [2 per cell]  2 N 2.35
La 0.1774 0.0000 0.7856 [4 per cell]  3 N 2.34-2.39
Hg 0.1204 0.5000 0.4008 [4 per cell]  2 Hg 3.36, 4 La 3.47-3.64, 1 N 3.75
N 0.1969 0.0000 0.0617 [4 per cell]  4 La 2.34-2.39

Computed properties:
Energy relative to the elements, uncorrected: -934 meV/atom
V: 26.53 Å³/atom

DFT (PBE-GGA) results for a geometry-optimized La4HgN structure.

a = 9.5287 Å, b = 8.3358 Å, c = 10.1276 Å
α = 90.00°, β = 90.00°, γ = 90.00°
With the nearest neighbours (Å) after each atom.
Space group Cmcm (No. 63)
Inequivalent atoms, fractional coordinates:
La 0.0000 0.2273 0.0506 [8 per cell]  1 N 2.34
La 0.1916 0.4502 0.7500 [8 per cell]  1 N 2.37
Hg 0.0000 0.1056 0.7500 [4 per cell]  8 La 3.21-3.43
N 0.0000 0.3686 0.2500 [4 per cell]  4 La 2.34-2.37

Computed properties:
Energy relative to the elements, uncorrected: -509 meV/atom
V: 33.52 Å³/atom
Energy above the most stable polymorph in this dataset: 70 meV/atom

DFT (PBE-GGA) results for a geometry-optimized La3HgN2 structure.

a = 4.2505 Å, b = 12.3217 Å, c = 5.6276 Å
α = 90.00°, β = 90.00°, γ = 90.00°
With the nearest neighbours (Å) after each atom.
Space group Pmmn (No. 59, origin choice 2)
Inequivalent atoms, fractional coordinates:
La 0.2500 0.0355 0.2407 [4 per cell]  3 N 2.42-2.47
La 0.2500 0.2500 0.7584 [2 per cell]  2 N 2.41
Hg 0.2500 0.7500 0.7270 [2 per cell]  8 La 3.40-3.59, 2 N 3.79
N 0.2500 0.0555 0.8048 [4 per cell]  4 La 2.41-2.47

Computed properties:
Energy relative to the elements, uncorrected: -1036 meV/atom
V: 24.56 Å³/atom
Energy above the most stable polymorph in this dataset: 0 meV/atom

DFT (PBE-GGA) results for a geometry-optimized La2Hg2N structure.

a = 3.9193 Å, b = 3.9193 Å, c = 35.9451 Å
α = 90.00°, β = 90.00°, γ = 90.00°
With the nearest neighbours (Å) after each atom.
Space group I4_1/amd (No. 141, origin choice 2)
Inequivalent atoms, fractional coordinates:
La 0.0000 0.2500 0.0872 [8 per cell]  2 N 2.39
Hg 0.0000 0.2500 0.2190 [8 per cell]  2 Hg 2.97
N 0.0000 0.2500 0.8750 [4 per cell]  4 La 2.39

Computed properties:
Energy relative to the elements, uncorrected: -740 meV/atom
V: 27.61 Å³/atom

DFT (PBE-GGA) results for a geometry-optimized La4HgN structure.

a = 14.9628 Å, b = 6.4069 Å, c = 7.2714 Å
α = 90.00°, β = 106.28°, γ = 90.00°
With the nearest neighbours (Å) after each atom.
Space group C2/c (No. 15)
Inequivalent atoms, fractional coordinates:
La 0.0972 0.0955 0.4663 [8 per cell]  1 N 2.44
La 0.1938 0.4236 0.1597 [8 per cell]  2 N 2.63-2.64
Hg 0.0000 0.3980 0.7500 [4 per cell]  10 La 3.35-3.72
N 0.2500 0.2500 0.5000 [4 per cell]  6 La 2.44-2.64

Computed properties:
Energy relative to the elements, uncorrected: -579 meV/atom
V: 27.88 Å³/atom
Energy above the most stable polymorph in this dataset: 0 meV/atom

DFT (PBE-GGA) results for a geometry-optimized LaHg2N structure.

a = 8.8685 Å, b = 8.8685 Å, c = 4.8738 Å
α = 90.00°, β = 90.00°, γ = 90.00°
With the nearest neighbours (Å) after each atom.
Space group I-42d (No. 122)
Inequivalent atoms, fractional coordinates:
La 0.0000 0.0000 0.0000 [4 per cell]  2 N 2.44
Hg 0.1712 0.2500 0.6250 [8 per cell]  2 N 2.76, 2 Hg 2.81
N 0.0000 0.0000 0.5000 [4 per cell]  2 La 2.44

Computed properties:
Energy relative to the elements, uncorrected: -44 meV/atom
V: 23.96 Å³/atom

DFT (PBE-GGA) results for a geometry-optimized La4Hg2N structure.

a = 7.8075 Å, b = 7.1541 Å, c = 8.0929 Å
α = 90.00°, β = 105.26°, γ = 90.00°
With the nearest neighbours (Å) after each atom.
Space group P2_1/m (No. 11)
Inequivalent atoms, fractional coordinates:
La 0.0399 0.9996 0.2645 [4 per cell]  1 N 2.37
La 0.3902 0.2500 0.0997 [2 per cell]  1 N 2.32
La 0.4180 0.2500 0.5914 [2 per cell]  1 N 2.27
Hg 0.2421 0.7500 0.0291 [2 per cell]  6 La 3.30-3.49, 1 Hg 3.51
Hg 0.2508 0.7500 0.5982 [2 per cell]  6 La 3.20-3.34, 1 Hg 3.51
N 0.2468 0.2500 0.3168 [2 per cell]  4 La 2.27-2.37

Computed properties:
Energy relative to the elements, uncorrected: -651 meV/atom
V: 31.15 Å³/atom
Energy above the most stable polymorph in this dataset: 28 meV/atom

DFT (PBE-GGA) results for a geometry-optimized LaHg2N structure.

a = 3.6028 Å, b = 3.6081 Å, c = 16.5766 Å
α = 90.00°, β = 96.38°, γ = 90.00°
With the nearest neighbours (Å) after each atom.
Space group P2_1/m (No. 11)
Inequivalent atoms, fractional coordinates:
La 0.2081 0.2500 0.4184 [2 per cell]  5 N 2.37-2.57
Hg 0.0391 0.7500 0.0830 [2 per cell]  10 Hg 3.28-3.61
Hg 0.3918 0.7500 0.7785 [2 per cell]  8 Hg 3.42-3.61, 2 La 3.71
N 0.2814 0.2500 0.5623 [2 per cell]  5 La 2.37-2.57

Computed properties:
Energy relative to the elements, uncorrected: -621 meV/atom
V: 26.77 Å³/atom

DFT (PBE-GGA) results for a geometry-optimized La4Hg2N structure.

a = 5.1790 Å, b = 5.1790 Å, c = 15.3618 Å
α = 90.00°, β = 90.00°, γ = 90.00°
With the nearest neighbours (Å) after each atom.
Space group I4/mmm (No. 139)
Inequivalent atoms, fractional coordinates:
La 0.0000 0.0000 0.1663 [4 per cell]  1 N 2.55
La 0.0000 0.5000 0.0000 [4 per cell]  2 N 2.59
Hg 0.0000 0.0000 0.3697 [4 per cell]  5 La 3.13-3.27
N 0.0000 0.0000 0.0000 [2 per cell]  6 La 2.55-2.59

Computed properties:
Energy relative to the elements, uncorrected: -679 meV/atom
V: 29.43 Å³/atom
Energy above the most stable polymorph in this dataset: 0 meV/atom

no.,magnetic moment (μB per atom),DOS(E_F) (states/eV/cell)
1,0.13,4.985
2,1.11,8.674
3,0.61,5.490
4,0.00,9.453
5,0.00,21.663
6,0.00,7.179
7,0.00,14.304
8,0.00,24.490
9,0.00,5.260
10,0.00,13.709
11,0.00,2.555
12,0.00,7.557